[1]
The following is a PBE calculation of crystalline ScSnTePd2 at its relaxed geometry, from Alexandria via LeMat-Bulk.

Output
magnetic moment: 0.0 μB per formula unit
formation energy from raw total energies: -0.02 eV per atom
DOS at the Fermi energy: 3.02 states/eV/f.u.

Structure (POSCAR):
```
ScSnTePd2
1.0
-1.085 2.663 -4.036
-4.630 -2.611 -0.478
-2.213 3.404 2.841
Sn Pd Te Sc
1 2 1 1
direct
0.500 0.500 0.500
0.500 0.000 0.000
0.000 0.000 0.500
0.000 0.000 0.000
0.000 0.500 0.000
```

---

[2]
The following is a PBE calculation of crystalline SrPr2Ga at its relaxed geometry, from Alexandria via LeMat-Bulk.

Output
magnetic moment: 0.0 μB per formula unit
calculated formation energy: -0.4 eV per formula unit
DOS at the Fermi energy: 4.12 states/eV/f.u.

Structure (POSCAR):
```
SrPr2Ga
1.0
-0.306 -3.224 -3.736
2.665 -3.355 2.677
-4.281 -1.848 1.945
Pr Sr Ga
2 1 1
direct
0.000 0.000 0.500
0.000 0.500 0.000
0.500 0.000 0.000
0.500 0.500 0.500
```

---

[3]
The following is a PBE calculation of crystalline PS3N at its relaxed geometry, from Alexandria via LeMat-Bulk.

Output
magnetic moment: 0.0 μB per formula unit
formation energy from raw total energies: 1.37 eV per atom
DOS at the Fermi energy: 4.31 states/eV/f.u.

Structure (POSCAR):
```
PS3N
1.0
-0.832 -3.762 1.447
4.028 -0.831 0.153
0.153 1.447 3.850
P S N
1 3 1
direct
0.500 0.500 0.500
0.000 0.000 0.500
0.000 0.500 0.000
0.500 0.000 0.000
0.000 0.000 0.000
```

---

[4]
The following is a PBE calculation of crystalline LiAl2Mo at its relaxed geometry, from Alexandria via LeMat-Bulk.

Output
magnetic moment: 0.0 μB per formula unit
calculated formation energy: -0.8 eV per formula unit
DOS at the Fermi energy: 1.50 states/eV/f.u.

Structure (POSCAR):
```
LiAl2Mo
1.0
-5.645 -0.525 3.636
4.297 -0.851 1.427
-0.293 1.956 2.061
Li Al Mo
1 2 1
direct
0.000 0.500 0.500
0.500 0.000 0.500
0.000 0.000 0.000
0.500 0.500 0.000
```

---

[5]
The following is a PBE calculation of crystalline BeWSe at its relaxed geometry, from Alexandria via LeMat-Bulk.

Output
magnetic moment: 0.0 μB per formula unit
formation energy from raw total energies: 0.66 eV per atom
DOS at the Fermi energy: 0.57 states/eV/f.u.

Structure (POSCAR):
```
BeWSe
1.0
4.512 0.000 0.000
-2.256 3.908 0.000
0.000 0.000 2.569
W Se Be
1 1 1
direct
0.667 0.333 0.491
0.333 0.667 0.424
0.000 0.000 0.086
```

---

[6]
The following is a PBE calculation of crystalline VH2Pd at its relaxed geometry, from Alexandria via LeMat-Bulk.

Output
magnetic moment: 0.0 μB per formula unit
uncorrected energy: -5.377 eV/atom
DOS at the Fermi energy: 1.57 states/eV/f.u.

Structure (POSCAR):
```
VH2Pd
1.0
-0.037 2.701 0.790
-1.743 0.845 2.042
2.923 0.238 4.336
V Pd H
1 1 2
direct
0.670 0.670 0.989
0.494 0.494 0.518
0.061 0.061 0.818
0.275 0.275 0.175
```